Zr4Ga2CN | PBE | optimized geometry

Output
magnetization: 0.003 μB per cell
calculated total energy: -8.162 eV/atom
symmetry: No. 164
calculated volume: 133.74 Å³/f.u.

Cell lengths 3.314, 3.314, 14.064 Å; angles 90.00, 90.00, 120.00 degrees
Atoms (fractional coordinates):
C1 0.000 0.000 0.000
Ga1 0.667 0.333 0.252
Ga2 0.333 0.667 0.748
N1 0.000 0.000 0.500
Zr1 0.333 0.667 0.090
Zr2 0.333 0.667 0.411
Zr3 0.667 0.333 0.589
Zr4 0.667 0.333 0.910